Record 1
{
  "formula": "RbVP2",
  "functional": "PBE-GGA",
  "state": "optimized geometry",
  "cell": [[0.372, 1.822, 4.475], [-3.968, 0.563, 2.725], [-0.723, -2.857, 3.847]],
  "species": ["P", "P", "Rb", "V"],
  "frac_coords": [[0.250, 0.250, 0.250], [0.750, 0.750, 0.750], [0.500, 0.500, 0.500], [0.000, 0.000, 0.000]],
  "volume_a3_per_atom": 20.12,
  "spacegroup": "Fm-3m",
  "e_form_ev_per_atom": 0.67,
  "energy_ev_per_atom": -4.56,
  "magnetic_moment_mub_per_cell": 2.9,
  "crystal_system": "cubic"
}

Record 2
{
  "formula": "AcAg6",
  "functional": "PBE-GGA",
  "state": "optimized geometry",
  "cell": [[5.893, 0.000, 0.000], [0.000, 9.042, 0.000], [0.000, 0.000, 11.428]],
  "species": ["Ac", "Ac", "Ac", "Ac", "Ag", "Ag", "Ag", "Ag", "Ag", "Ag", "Ag", "Ag", "Ag", "Ag", "Ag", "Ag", "Ag", "Ag", "Ag", "Ag", "Ag", "Ag", "Ag", "Ag", "Ag", "Ag", "Ag", "Ag"],
  "frac_coords": [[0.750, 0.240, 0.935], [0.250, 0.760, 0.065], [0.750, 0.740, 0.565], [0.250, 0.260, 0.435], [0.750, 0.603, 0.019], [0.250, 0.397, 0.981], [0.750, 0.103, 0.481], [0.250, 0.897, 0.519], [0.009, 0.437, 0.191], [0.509, 0.563, 0.809], [0.491, 0.937, 0.309], [0.991, 0.063, 0.691], [0.991, 0.563, 0.809], [0.491, 0.437, 0.191], [0.509, 0.063, 0.691], [0.009, 0.937, 0.309], [0.250, 0.146, 0.147], [0.750, 0.854, 0.853], [0.250, 0.646, 0.353], [0.750, 0.354, 0.647], [0.250, 0.817, 0.763], [0.750, 0.183, 0.237], [0.250, 0.317, 0.737], [0.750, 0.683, 0.263], [0.250, 0.570, 0.593], [0.750, 0.430, 0.407], [0.250, 0.070, 0.907], [0.750, 0.930, 0.093]],
  "volume_a3_per_atom": 21.75,
  "spacegroup": "Pnma",
  "e_form_ev_per_atom": -0.16,
  "energy_ev_per_atom": -3.19,
  "magnetic_moment_mub_per_cell": 0.0,
  "crystal_system": "orthorhombic"
}

Record 3
{
  "formula": "Be3SiRu",
  "functional": "PBE-GGA",
  "state": "optimized geometry",
  "cell": [[-1.574, 2.712, -2.730], [-2.953, 1.039, 2.735], [2.467, 2.975, 1.533]],
  "species": ["Ru", "Si", "Be", "Be", "Be"],
  "frac_coords": [[0.000, 0.000, 0.000], [0.500, 0.500, 0.500], [0.000, 0.500, 0.000], [0.000, 0.000, 0.500], [0.500, 0.000, 0.000]],
  "e_form_raw_ev_per_atom": 0.77,
  "volume_a3_per_atom": 14.37,
  "spacegroup": "Pm-3m",
  "energy_ev_per_atom": -4.40,
  "magnetic_moment_mub_per_cell": 0.0,
  "crystal_system": "cubic"
}

| no. | E above lowest polymorph (kJ/mol of formula units) |
| --- | --- |
| 1 | 370.8 |
| 2 | 0.0 |
| 3 | 0.0 |